First-principles (PBE-GGA) data for a relaxed ScCo3Cl crystal, as listed in Alexandria via LeMat-Bulk.

a b c (Å): 4.615 4.615 4.615
angles (deg): 90.00 90.00 90.00
Atoms (fractional coordinates):
Cl 0.500 0.500 0.500
Co 0.500 0.000 0.000
Co 0.000 0.500 0.000
Co 0.000 0.000 0.500
Sc 0.000 0.000 0.000

Output
Formation energy from raw total energies in eV/f.u.: 7.27
Energy in eV per atom: -4.446
Polymorph energy (0 for the lowest one) in eV per atom: 1.056


First-principles (PBE-GGA) data for a relaxed ScCoCl2 crystal, as listed in Alexandria via LeMat-Bulk.

a b c (Å): 3.247 5.489 3.923
angles (deg): 90.00 90.00 90.00
Atoms (fractional coordinates):
Cl 0.500 0.500 0.000
Cl 0.000 0.000 0.000
Sc 0.000 0.500 0.500
Co 0.500 0.000 0.500

Output
Formation energy from raw total energies in eV/f.u.: -1.64
Energy in eV per atom: -4.692
Polymorph energy (0 for the lowest one) in eV per atom: 0.502